Dy4GaPbSe2: optimized geometry, PBE-GGA.

The structure belongs to space group P2/m (No. 10); the cell edges are 7.029, 4.066 and 7.680 Å and the angles 90.00°, 107.81° and 90.00°. The distinct sites, in fractional coordinates, are Dy at (0.236, 0.000, 0.234), Dy at (0.245, 0.500, 0.759), Ga at (0.000, 0.000, 0.500), Pb at (0.500, 0.500, 0.500), Se at (0.000, 0.500, 0.000) and Se at (0.500, 0.000, 0.000).

The value obtained for the formation energy from raw total energies is -1122 meV/atom. The total energy comes out at -41.1 eV per cell. As for the total magnetization: 0.0000 μB/atom.